A plane-wave DFT calculation with GGA-PBE was carried out for crystalline CoSiHRh2 at its relaxed geometry.

a = 3.8440 Å, b = 3.8440 Å, c = 3.5888 Å
α = 90.00°, β = 90.00°, γ = 90.00°
With the nearest neighbours (Å) after each atom.
Element x y z (fractional)
Co: 0.0000 0.0000 0.5000  2 H 1.79
Si: 0.5000 0.5000 0.5000  8 Rh 2.63, 4 Co 2.72
Rh: 0.0000 0.5000 0.0000  2 H 1.92
Rh: 0.5000 0.0000 0.0000  2 H 1.92
H: 0.0000 0.0000 0.0000  2 Co 1.79, 4 Rh 1.92

Results
- Raw total energy: -6.409 eV per atom
- SG: P4/mmm (123)
- Calculated volume: 10.61 Å³/atom